## Ba4MnSb3O12 (PBE with a Hubbard U)

Data for a geometry-optimized Ba4MnSb3O12 structure.

a = 8.404 Å, b = 8.404 Å, c = 8.404 Å
α = 90.00°, β = 90.00°, γ = 90.00°
Space group Im-3m (No. 229)
Symmetry-distinct sites (fractional):
Ba (0.250, 0.250, 0.250) x8
Mn (0.000, 0.000, 0.000) x2
Sb (0.000, 0.000, 0.500) x6
O (0.000, 0.000, 0.262) x12
O (0.000, 0.250, 0.500) x12

Calculated values
- Total DFT energy (no corrections): -6.45 eV/atom
- DOS at the Fermi energy: 5.788 states/eV/cell
- Volume: 14.8 A^3/atom